# AlFe2Si | Alexandria | PBEsol | optimized geometry
data_AlFe2Si
_chemical_formula_sum 'Al1 Fe2 Si1'
_space_group_name_H-M_alt 'P 1'
_space_group_IT_number 1
_cell_length_a 3.014
_cell_length_b 3.014
_cell_length_c 5.177
_cell_angle_alpha 90.00
_cell_angle_beta 90.00
_cell_angle_gamma 90.00
loop_
_space_group_symop_operation_xyz
'x,y,z'
loop_
_atom_site_label
_atom_site_fract_x
_atom_site_fract_y
_atom_site_fract_z
_atom_site_occupancy
Si1 0.000 0.000 0.470 1
Al1 0.500 0.500 0.766 1
Fe1 0.000 0.000 0.997 1
Fe2 0.500 0.500 0.267 1
# * energy relative to the elements, uncorrected: -28.8 kJ per mole of atoms
# * SG: P4mm, No. 99
# * DFT total energy: -29.0 eV/cell



# Al2ZnPt | Alexandria | PBEsol | optimized geometry
data_Al2ZnPt
_chemical_formula_sum 'Al2 Zn1 Pt1'
_space_group_name_H-M_alt 'P 1'
_space_group_IT_number 1
_cell_length_a 3.673
_cell_length_b 3.952
_cell_length_c 3.952
_cell_angle_alpha 90.30
_cell_angle_beta 90.08
_cell_angle_gamma 89.92
loop_
_space_group_symop_operation_xyz
'x,y,z'
loop_
_atom_site_label
_atom_site_fract_x
_atom_site_fract_y
_atom_site_fract_z
_atom_site_occupancy
Al1 0.000 0.500 0.000 1
Al2 0.000 0.000 0.500 1
Pt1 0.500 0.000 0.000 1
Zn1 0.500 0.500 0.500 1
# * SG: C2/m, No. 12
# * formation enthalpy at 0 K: -0.471 eV per atom
# * DFT total energy: -18.6 eV/cell



# Zr3Ge | Alexandria | PBEsol | optimized geometry
data_Zr3Ge
_chemical_formula_sum 'Zr24 Ge8'
_space_group_name_H-M_alt 'P 1'
_space_group_IT_number 1
_cell_length_a 5.406
_cell_length_b 10.976
_cell_length_c 10.976
_cell_angle_alpha 90.00
_cell_angle_beta 90.00
_cell_angle_gamma 90.00
loop_
_space_group_symop_operation_xyz
'x,y,z'
loop_
_atom_site_label
_atom_site_fract_x
_atom_site_fract_y
_atom_site_fract_z
_atom_site_occupancy
Zr1 0.279 0.974 0.140 1
Ge1 0.213 0.795 0.959 1
Zr2 0.994 0.716 0.180 1
Zr3 0.221 0.474 0.640 1
Zr4 0.779 0.360 0.474 1
Zr5 0.494 0.680 0.784 1
Ge2 0.787 0.041 0.795 1
Zr6 0.006 0.820 0.716 1
Zr7 0.494 0.320 0.216 1
Zr8 0.506 0.784 0.320 1
Zr9 0.506 0.216 0.680 1
Ge3 0.713 0.459 0.705 1
Zr10 0.466 0.394 0.918 1
Zr11 0.721 0.140 0.026 1
Ge4 0.713 0.541 0.295 1
Zr12 0.534 0.918 0.606 1
Zr13 0.006 0.180 0.284 1
Zr14 0.034 0.106 0.582 1
Zr15 0.534 0.082 0.394 1
Zr16 0.221 0.526 0.360 1
Ge5 0.787 0.959 0.205 1
Zr17 0.966 0.582 0.894 1
Ge6 0.287 0.295 0.459 1
Zr18 0.779 0.640 0.526 1
Zr19 0.994 0.284 0.820 1
Zr20 0.034 0.894 0.418 1
Zr21 0.466 0.606 0.082 1
Zr22 0.721 0.860 0.974 1
Zr23 0.279 0.026 0.860 1
Zr24 0.966 0.418 0.106 1
Ge7 0.213 0.205 0.041 1
Ge8 0.287 0.705 0.541 1
# * SG: P4_2/n, No. 86
# * formation enthalpy at 0 K: -0.591 eV per atom
# * DFT total energy: -276.6 eV/cell



# Al2InCl | Alexandria | PBEsol | optimized geometry
data_Al2InCl
_chemical_formula_sum 'Al2 In1 Cl1'
_space_group_name_H-M_alt 'P 1'
_space_group_IT_number 1
_cell_length_a 3.022
_cell_length_b 3.022
_cell_length_c 9.158
_cell_angle_alpha 90.00
_cell_angle_beta 90.00
_cell_angle_gamma 90.00
loop_
_space_group_symop_operation_xyz
'x,y,z'
loop_
_atom_site_label
_atom_site_fract_x
_atom_site_fract_y
_atom_site_fract_z
_atom_site_occupancy
In1 0.500 0.500 0.785 1
Al1 0.500 0.500 0.249 1
Cl1 0.000 0.000 0.426 1
Al2 0.000 0.000 0.041 1
# * energy relative to the elements, uncorrected: -12.6 kJ per mole of atoms
# * SG: P4mm, No. 99
# * DFT total energy: -13.7 eV/cell



# TcMoPt2 | Alexandria | PBEsol | optimized geometry
data_TcMoPt2
_chemical_formula_sum 'Tc1 Mo1 Pt2'
_space_group_name_H-M_alt 'P 1'
_space_group_IT_number 1
_cell_length_a 2.715
_cell_length_b 4.418
_cell_length_c 4.858
_cell_angle_alpha 90.00
_cell_angle_beta 90.00
_cell_angle_gamma 90.00
loop_
_space_group_symop_operation_xyz
'x,y,z'
loop_
_atom_site_label
_atom_site_fract_x
_atom_site_fract_y
_atom_site_fract_z
_atom_site_occupancy
Tc1 0.500 0.000 0.535 1
Pt1 0.000 0.500 0.711 1
Mo1 0.500 0.500 0.217 1
Pt2 0.000 0.000 0.037 1
# * SG: Pmm2, No. 25
# * formation enthalpy at 0 K: -0.276 eV per atom
# * DFT total energy: -38.1 eV/cell



# Cu2ReSe | Alexandria | PBEsol | optimized geometry
data_Cu2ReSe
_chemical_formula_sum 'Cu2 Re1 Se1'
_space_group_name_H-M_alt 'P 1'
_space_group_IT_number 1
_cell_length_a 2.598
_cell_length_b 3.981
_cell_length_c 5.461
_cell_angle_alpha 90.00
_cell_angle_beta 90.03
_cell_angle_gamma 90.00
loop_
_space_group_symop_operation_xyz
'x,y,z'
loop_
_atom_site_label
_atom_site_fract_x
_atom_site_fract_y
_atom_site_fract_z
_atom_site_occupancy
Cu1 0.000 0.000 0.775 1
Cu2 0.000 0.000 0.225 1
Se1 0.500 0.500 0.500 1
Re1 0.500 0.500 0.000 1
# * energy relative to the elements, uncorrected: 51.6 kJ per mole of atoms
# * SG: Pmmm, No. 47
# * DFT total energy: -23.7 eV/cell



Which of these has the highest DFT total energy? Al2InCl